Here is an optimized crystal structure of VSe2NF from Alexandria. Energies are from PBE+U.

Calculated values
Its total energy is -4.5846 eV per atom. The calculation puts the total moment at 2.2 μB per formula unit. The density of states at the Fermi level is 3.5 states/eV/f.u. The calculation puts the density at 4.51 g/cm3.

a = 4.8803 Å, b = 4.8803 Å, c = 3.7420 Å
α = 90.00°, β = 90.00°, γ = 90.00°
With the nearest neighbours (Å) after each atom.
Element x y z (fractional)
Se 0.5000 0.0000 0.0000  2 V 2.44
Se 0.0000 0.5000 0.0000  2 V 2.44
F 0.5000 0.5000 0.5000  8 Se 3.07
V 0.0000 0.0000 0.0000  2 N 1.87
N 0.0000 0.0000 0.5000  2 V 1.87